Record 1
DFT (PBE) results for a relaxed structure of NaGdTmSn.

a = 7.546 Å, b = 7.546 Å, c = 7.546 Å
α = 90.00°, β = 90.00°, γ = 90.00°
Fractional positions:
Na 0.000 0.000 0.000
Na 0.000 0.500 0.500
Na 0.500 0.000 0.500
Na 0.500 0.500 0.000
Gd 0.250 0.250 0.250
Gd 0.250 0.750 0.750
Gd 0.750 0.250 0.750
Gd 0.750 0.750 0.250
Tm 0.250 0.250 0.750
Tm 0.250 0.750 0.250
Tm 0.750 0.250 0.250
Tm 0.750 0.750 0.750
Sn 0.000 0.000 0.500
Sn 0.000 0.500 0.000
Sn 0.500 0.000 0.000
Sn 0.500 0.500 0.500

E_form: -0.2459 eV/atom


Record 2
DFT (PBE) results for a relaxed structure of LiSi2W.

a = 2.752 Å, b = 2.752 Å, c = 7.943 Å
α = 90.00°, β = 90.00°, γ = 90.00°
Fractional positions:
Li 0.000 0.000 0.000
Si 0.500 0.500 0.262
Si 0.500 0.500 0.738
W 0.000 0.000 0.500

excess energy over the best structure of this formula in the dataset: 134 meV per atom
formation energy (no corrections): 7 kJ/mol of atoms


Record 3
DFT (PBE) results for a relaxed structure of AlIn3Re.

a = 5.237 Å, b = 5.237 Å, c = 5.237 Å
α = 90.00°, β = 90.00°, γ = 90.00°
Fractional positions:
Al 0.000 0.000 0.000
In 0.000 0.500 0.500
In 0.500 0.000 0.500
In 0.500 0.500 0.000
Re 0.500 0.500 0.500

E_form: 0.6259 eV/atom
excess energy over the best structure of this formula in the dataset: 0 meV per atom


Record 4
DFT (PBE) results for a relaxed structure of MgBeIn2C.

a = 5.220 Å, b = 5.220 Å, c = 3.328 Å
α = 90.00°, β = 90.00°, γ = 90.00°
Fractional positions:
Mg 0.000 0.000 0.000
Be 0.500 0.500 0.000
In 0.000 0.500 0.500
In 0.500 0.000 0.500
C 0.500 0.500 0.500

E_form: 0.4300 eV/atom